1.
A plane-wave DFT calculation with PBE was carried out for Pm3TlPd after structural relaxation.

```
data_Pm3TlPd
_cell_length_a 9.870
_cell_length_b 7.548
_cell_length_c 8.776
_cell_angle_alpha 90.00
_cell_angle_beta 113.72
_cell_angle_gamma 90.00
_space_group_name_H-M_alt 'P 1 21/c 1'
_space_group_IT_number 14
loop_
_space_group_symop_operation_xyz
'x,y,z'
'-x,-y,-z'
'-x,y+1/2,-z+1/2'
'x,-y+1/2,z+1/2'
loop_
_atom_site_label
_atom_site_type_symbol
_atom_site_fract_x
_atom_site_fract_y
_atom_site_fract_z
_atom_site_occupancy
Pm1 Pm 0.073 0.025 0.218 1
Pm2 Pm 0.318 0.166 0.608 1
Pm3 Pm 0.358 0.680 0.482 1
Tl1 Tl 0.097 0.664 0.067 1
Pd1 Pd 0.408 0.032 0.322 1
```

---

2.
A plane-wave DFT calculation with PBE was carried out for Pm3Tl2Pd2 after structural relaxation.

```
data_Pm3Tl2Pd2
_cell_length_a 4.038
_cell_length_b 23.518
_cell_length_c 3.833
_cell_angle_alpha 90.00
_cell_angle_beta 90.00
_cell_angle_gamma 90.00
_space_group_name_H-M_alt 'C m m m'
_space_group_IT_number 65
_space_group_name_Hall '-C 2 2'
loop_
_atom_site_label
_atom_site_type_symbol
_atom_site_fract_x
_atom_site_fract_y
_atom_site_fract_z
_atom_site_occupancy
Pm1 Pm 0.000 0.000 0.000 1
Pm2 Pm 0.000 0.171 0.000 1
Tl1 Tl 0.000 0.416 0.500 1
Pd1 Pd 0.000 0.289 0.500 1
```

---

3.
A plane-wave DFT calculation with PBE was carried out for PmTmTlPd after structural relaxation.

```
data_PmTmTlPd
_cell_length_a 7.371
_cell_length_b 7.371
_cell_length_c 7.371
_cell_angle_alpha 90.00
_cell_angle_beta 90.00
_cell_angle_gamma 90.00
_space_group_name_H-M_alt 'F -4 3 m'
_space_group_IT_number 216
_space_group_name_Hall 'F -4 2 3'
loop_
_atom_site_label
_atom_site_type_symbol
_atom_site_fract_x
_atom_site_fract_y
_atom_site_fract_z
_atom_site_occupancy
Pm1 Pm 0.000 0.000 0.000 1
Tm1 Tm 0.000 0.000 0.500 1
Tl1 Tl 0.250 0.250 0.750 1
Pd1 Pd 0.250 0.250 0.250 1
```

---

4.
A plane-wave DFT calculation with PBE was carried out for PmTmTlPd after structural relaxation.

```
data_PmTmTlPd
_cell_length_a 3.586
_cell_length_b 3.586
_cell_length_c 7.719
_cell_angle_alpha 90.00
_cell_angle_beta 90.00
_cell_angle_gamma 90.00
_space_group_name_H-M_alt 'P 4 m m'
_space_group_IT_number 99
loop_
_space_group_symop_operation_xyz
'x,y,z'
'-y,x,z'
'-x,-y,z'
'y,-x,z'
'-x,y,z'
'y,x,z'
'x,-y,z'
'-y,-x,z'
loop_
_atom_site_label
_atom_site_type_symbol
_atom_site_fract_x
_atom_site_fract_y
_atom_site_fract_z
_atom_site_occupancy
Pm1 Pm 0.000 0.000 0.000 1
Tm1 Tm 0.000 0.000 0.552 1
Tl1 Tl 0.500 0.500 0.287 1
Pd1 Pd 0.500 0.500 0.745 1
```

---

5.
A plane-wave DFT calculation with PBE was carried out for PmYTlPd after structural relaxation.

```
data_PmYTlPd
_cell_length_a 7.423
_cell_length_b 7.423
_cell_length_c 7.423
_cell_angle_alpha 90.00
_cell_angle_beta 90.00
_cell_angle_gamma 90.00
_space_group_name_H-M_alt 'F -4 3 m'
_space_group_IT_number 216
_space_group_name_Hall 'F -4 2 3'
loop_
_atom_site_label
_atom_site_type_symbol
_atom_site_fract_x
_atom_site_fract_y
_atom_site_fract_z
_atom_site_occupancy
Pm1 Pm 0.000 0.000 0.000 1
Y1 Y 0.000 0.000 0.500 1
Tl1 Tl 0.250 0.250 0.750 1
Pd1 Pd 0.250 0.250 0.250 1
```

---

6.
A plane-wave DFT calculation with PBE was carried out for Pm2TlZn2Pd5 after structural relaxation.

```
data_Pm2TlZn2Pd5
_cell_length_a 9.886
_cell_length_b 9.886
_cell_length_c 3.881
_cell_angle_alpha 90.00
_cell_angle_beta 90.00
_cell_angle_gamma 90.00
_space_group_name_H-M_alt 'P 4/m b m'
_space_group_IT_number 127
_space_group_name_Hall '-P 4 2ab'
loop_
_atom_site_label
_atom_site_type_symbol
_atom_site_fract_x
_atom_site_fract_y
_atom_site_fract_z
_atom_site_occupancy
Pm1 Pm 0.178 0.322 0.000 1
Tl1 Tl 0.000 0.000 0.000 1
Zn1 Zn 0.118 0.618 0.000 1
Pd1 Pd 0.000 0.500 0.500 1
Pd2 Pd 0.067 0.787 0.500 1
```

---

7.
A plane-wave DFT calculation with PBE was carried out for Pm2TmPd3 after structural relaxation.

```
data_Pm2TmPd3
_cell_length_a 5.034
_cell_length_b 15.429
_cell_length_c 3.471
_cell_angle_alpha 90.00
_cell_angle_beta 90.00
_cell_angle_gamma 90.00
_space_group_name_H-M_alt 'C m m m'
_space_group_IT_number 65
_space_group_name_Hall '-C 2 2'
loop_
_atom_site_label
_atom_site_type_symbol
_atom_site_fract_x
_atom_site_fract_y
_atom_site_fract_z
_atom_site_occupancy
Pm1 Pm 0.000 0.166 0.000 1
Tm1 Tm 0.000 0.500 0.000 1
Pd1 Pd 0.000 0.000 0.500 1
Pd2 Pd 0.000 0.347 0.500 1
```

---

8.
A plane-wave DFT calculation with PBE was carried out for PmTmPd6 after structural relaxation.

```
data_PmTmPd6
_cell_length_a 4.150
_cell_length_b 4.150
_cell_length_c 8.241
_cell_angle_alpha 90.00
_cell_angle_beta 90.00
_cell_angle_gamma 90.00
_space_group_name_H-M_alt 'P 4/m m m'
_space_group_IT_number 123
_space_group_name_Hall '-P 4 2'
loop_
_atom_site_label
_atom_site_type_symbol
_atom_site_fract_x
_atom_site_fract_y
_atom_site_fract_z
_atom_site_occupancy
Pm1 Pm 0.000 0.000 0.000 1
Tm1 Tm 0.000 0.000 0.500 1
Pd1 Pd 0.000 0.500 0.257 1
Pd2 Pd 0.500 0.500 0.000 1
Pd3 Pd 0.500 0.500 0.500 1
```

---

no.,formation energy (eV per atom)
1,-0.3875
2,-0.6205
3,-0.5196
4,-0.6078
5,-0.5266
6,-0.6124
7,-0.8255
8,-0.8484